Here is a relaxed structure of RbNiRuCl6 from Alexandria via LeMat-Bulk. Energies are from PBE. Values from VASP.

Values from the calculation:
ΔE_f (raw), eV/atom: -0.85
Fermi-level density of states, states/eV per atom: 0.993

Structure (Quantum ESPRESSO input):
```
&SYSTEM
  ibrav = 0, nat = 9, ntyp = 4
/
ATOMIC_SPECIES
Rb 85.47 Rb.upf
Ni 58.69 Ni.upf
Ru 101.07 Ru.upf
Cl 35.45 Cl.upf
CELL_PARAMETERS angstrom
6.270 0.000 0.000
3.135 5.430 0.000
0.000 0.000 7.429
ATOMIC_POSITIONS angstrom
Rb 9.406 5.430 7.429
Ni 3.135 1.810 3.715
Ru 6.270 3.620 3.715
Cl 7.406 2.020 2.376
Cl 5.452 5.404 5.054
Cl 5.134 2.020 5.053
Cl 8.224 3.437 5.053
Cl 4.316 3.437 2.376
Cl 7.088 5.404 2.376
```

=====

Here is a relaxed structure of ScCrP2 from Alexandria via LeMat-Bulk. Energies are from PBE. Values from VASP.

Values from the calculation:
E_form, eV/atom: -0.7352
Fermi-level density of states, states/eV per atom: 0.578
E above lowest polymorph, meV per atom: 128.0

Structure (Quantum ESPRESSO input):
```
&SYSTEM
  ibrav = 0, nat = 4, ntyp = 3
/
ATOMIC_SPECIES
Cr 52.00 Cr.upf
P 30.97 P.upf
Sc 44.96 Sc.upf
CELL_PARAMETERS angstrom
3.624 0.000 0.000
0.000 3.625 0.000
0.000 0.000 5.145
ATOMIC_POSITIONS angstrom
Cr 1.812 1.813 4.500
P 0.000 0.000 4.504
P 1.812 1.813 1.928
Sc 0.000 0.000 1.932
```